# 1
Er8CdC4 | PBE-GGA | relaxed

a b c (Å): 3.5929 8.9019 9.0522
angles (deg): 84.11 78.55 78.36
With the nearest neighbours (Å) after each atom.
Fractional positions:
C1 0.1859 0.4912 0.1370  6 Er 2.44-2.48
C2 0.6667 0.1687 0.4978  6 Er 2.43-2.49
C3 0.8455 0.5122 0.7968  6 Er 2.44-2.48
C4 0.3647 0.8347 0.4359  6 Er 2.43-2.49
Er1 0.1554 0.3196 0.3697  3 C 2.46-2.47
Er2 0.2134 0.6638 0.9094  3 C 2.44-2.48
Er3 0.5584 0.6426 0.2406  3 C 2.44-2.49
Er4 0.8561 0.9825 0.3053  3 C 2.43-2.46
Er5 0.4730 0.3608 0.6932  3 C 2.44-2.49
Er6 0.8760 0.6839 0.5641  3 C 2.46-2.47
Er7 0.8180 0.3396 0.0244  3 C 2.44-2.48
Er8 0.1754 0.0209 0.6284  3 C 2.43-2.46
Cd1 0.5158 0.0016 0.9667  10 Er 3.49-3.84, 2 Cd 3.59

Output
- Formation energy: -28.1 kJ per mole of atoms
- SG: C2/m
- DOS at the Fermi energy: 0.760 states/eV per atom
- Crystal system: monoclinic

***

# 2
HoEr2CdC | PBE-GGA | relaxed

a b c (Å): 4.9177 4.8711 4.8711
angles (deg): 90.00 90.00 90.00
With the nearest neighbours (Å) after each atom.
Fractional positions:
Ho1 0.5000 0.0000 0.0000  2 C 2.46
Er1 0.0000 0.0000 0.5000  2 C 2.44
Er2 0.0000 0.5000 0.0000  2 C 2.44
C1 0.0000 0.0000 0.0000  4 Er 2.44, 2 Ho 2.46
Cd1 0.5000 0.5000 0.5000  4 Ho 3.44, 8 Er 3.46

Output
- Formation energy: -31.9 kJ per mole of atoms
- SG: P4/mmm
- DOS at the Fermi energy: 1.299 states/eV per atom
- Crystal system: tetragonal

***

# 3
La2ErCdC | PBE-GGA | relaxed

a b c (Å): 4.8306 5.2944 5.2944
angles (deg): 90.00 90.00 90.00
With the nearest neighbours (Å) after each atom.
Fractional positions:
C1 0.0000 0.0000 0.0000  2 Er 2.42, 4 La 2.65
La1 0.0000 0.5000 0.0000  2 C 2.65
La2 0.0000 0.0000 0.5000  2 C 2.65
Cd1 0.5000 0.5000 0.5000  8 La 3.58, 4 Er 3.74
Er1 0.5000 0.0000 0.0000  2 C 2.42

Output
- Formation energy: -20.6 kJ per mole of atoms
- SG: P4/mmm
- DOS at the Fermi energy: 0.874 states/eV per atom
- Crystal system: tetragonal

***

# 4
Nd2ErCdC | PBE-GGA | relaxed

a b c (Å): 4.8033 5.1871 5.1871
angles (deg): 90.00 90.00 90.00
With the nearest neighbours (Å) after each atom.
Fractional positions:
Cd1 0.5000 0.5000 0.5000  8 Nd 3.53, 4 Er 3.67
Er1 0.5000 0.0000 0.0000  2 C 2.40
C1 0.0000 0.0000 0.0000  2 Er 2.40, 4 Nd 2.59
Nd1 0.0000 0.5000 0.0000  2 C 2.59
Nd2 0.0000 0.0000 0.5000  2 C 2.59

Output
- Formation energy: -20.2 kJ per mole of atoms
- SG: P4/mmm
- DOS at the Fermi energy: 0.981 states/eV per atom
- Crystal system: tetragonal

***

# 5
Er2CdOsC | PBE-GGA | relaxed

a b c (Å): 3.9320 4.9588 4.9588
angles (deg): 90.00 90.00 90.00
With the nearest neighbours (Å) after each atom.
Fractional positions:
Er1 0.0000 0.5000 0.0000  2 C 2.48
Er2 0.0000 0.0000 0.5000  2 C 2.48
Cd1 0.5000 0.5000 0.5000  8 Er 3.16, 4 Os 3.51
C1 0.0000 0.0000 0.0000  2 Os 1.97
Os1 0.5000 0.0000 0.0000  2 C 1.97

Output
- Formation energy: -39.7 kJ per mole of atoms
- SG: P4/mmm
- DOS at the Fermi energy: 0.263 states/eV per atom
- Crystal system: tetragonal

***

# 6
PmEr2CdC | PBE-GGA | relaxed

a b c (Å): 5.1528 4.8571 4.8571
angles (deg): 90.00 90.00 90.00
With the nearest neighbours (Å) after each atom.
Fractional positions:
Pm1 0.5000 0.0000 0.0000  2 C 2.58
Er1 0.0000 0.0000 0.5000  2 C 2.43
Er2 0.0000 0.5000 0.0000  2 C 2.43
Cd1 0.5000 0.5000 0.5000  4 Pm 3.43, 8 Er 3.54
C1 0.0000 0.0000 0.0000  4 Er 2.43, 2 Pm 2.58

Output
- Formation energy: -27.3 kJ per mole of atoms
- SG: P4/mmm
- DOS at the Fermi energy: 1.148 states/eV per atom
- Crystal system: tetragonal

***

# 7
Pm2ErCdC | PBE-GGA | relaxed

a b c (Å): 4.8071 5.1379 5.1379
angles (deg): 90.00 90.00 90.00
With the nearest neighbours (Å) after each atom.
Fractional positions:
Er1 0.5000 0.0000 0.0000  2 C 2.40
Cd1 0.5000 0.5000 0.5000  8 Pm 3.52, 4 Er 3.63
Pm1 0.0000 0.5000 0.0000  2 C 2.57
Pm2 0.0000 0.0000 0.5000  2 C 2.57
C1 0.0000 0.0000 0.0000  2 Er 2.40, 4 Pm 2.57

Output
- Formation energy: -22.5 kJ per mole of atoms
- SG: P4/mmm
- DOS at the Fermi energy: 1.046 states/eV per atom
- Crystal system: tetragonal

***

# 8
Er2CdRuC | PBE-GGA | relaxed

a b c (Å): 3.9344 4.9614 4.9614
angles (deg): 90.00 90.00 90.00
With the nearest neighbours (Å) after each atom.
Fractional positions:
C1 0.0000 0.0000 0.0000  2 Ru 1.97
Cd1 0.5000 0.5000 0.5000  8 Er 3.17, 4 Ru 3.51
Ru1 0.5000 0.0000 0.0000  2 C 1.97
Er1 0.0000 0.5000 0.0000  2 C 2.48
Er2 0.0000 0.0000 0.5000  2 C 2.48

Output
- Formation energy: -40.4 kJ per mole of atoms
- SG: P4/mmm
- DOS at the Fermi energy: 0.289 states/eV per atom
- Crystal system: tetragonal